The following is a PBE+U calculation of a geometry-optimized LiMn2PbO6 structure, from Alexandria via LeMat-Bulk.

Output
Space-group type   P1 (1)
Crystal system   triclinic
Uncorrected energy   -6.349 eV per atom
Volume   11.08 Å³/atom
ρ   6.3 g/cm3

CIF file:
```
data_LiMn2PbO6
_cell_length_a 5.269
_cell_length_b 5.268
_cell_length_c 5.525
_cell_angle_alpha 61.44
_cell_angle_beta 61.40
_cell_angle_gamma 60.10
_space_group_name_H-M_alt 'P 1'
_space_group_IT_number 1
_space_group_name_Hall 'P 1'
loop_
_atom_site_label
_atom_site_fract_x
_atom_site_fract_y
_atom_site_fract_z
_atom_site_occupancy
Li1 0.804 0.804 0.587 1
Mn1 0.512 0.512 0.464 1
Mn2 0.018 0.018 0.946 1
Pb1 0.299 0.299 0.103 1
O1 0.652 0.239 0.237 1
O2 0.238 0.872 0.237 1
O3 0.872 0.653 0.237 1
O4 0.377 0.740 0.735 1
O5 0.741 0.148 0.735 1
O6 0.147 0.377 0.735 1
```